# NiP2Br8

Crystalline NiP2Br8 at its relaxed geometry (PBE-GGA, Alexandria via LeMat-Bulk).

Unit cell a=9.240 b=7.122 c=7.122 alpha=102.42 beta=85.13 gamma=85.13
Fractional coordinates of all 11 atoms:
Br 0.841 0.824 0.824
Br 0.338 0.686 0.004
Br 0.159 0.176 0.176
Br 0.662 0.314 0.996
P 0.804 0.170 0.170
Ni 0.000 0.000 0.000
P 0.196 0.830 0.830
Br 0.177 0.584 0.584
Br 0.338 0.004 0.686
Br 0.662 0.996 0.314
Br 0.823 0.416 0.416

Calculated values
SG: C2/m
Calculated volume, Å³ per atom: 41.222



# MgCd2I

Crystalline MgCd2I at its relaxed geometry (PBE-GGA, Alexandria via LeMat-Bulk).

Unit cell a=8.720 b=8.720 c=6.905 alpha=50.84 beta=50.84 gamma=90.00
Fractional coordinates of all 8 atoms:
Cd 0.375 0.401 0.750
Cd 0.151 0.625 0.250
I 0.750 0.250 0.500
Mg 0.250 0.750 0.500
Mg 0.500 0.500 0.000
I 0.000 0.000 0.000
Cd 0.875 0.849 0.750
Cd 0.599 0.125 0.250

Calculated values
SG: I-42d
Calculated volume, Å³ per atom: 29.539



Computed D(E_F) (states/eV per cell) in order:
1.74 1.61
Computed formation energy from raw total energies (eV/atom) in order:
-0.34 -0.08
Computed total magnetization (μB/cell) in order:
0.06 0.00